No. 1
Entry from Alexandria via LeMat-Bulk: a PBEsol-optimized structure of BaZnSn2Pt (meta-GGA SCAN).

Results
- ΔE_f (eV/atom) = 0.299
- symmetry = No. 123

a b c (Å): 4.9391 4.9391 5.8687
angles (deg): 90.00 90.00 90.00
Last column: nearest neighbours and their distance in Å.
Fractional coordinates of all 5 atoms:
1 Ba 0.0000 0.0000 0.0000  2 Zn 2.93
2 Zn 0.0000 0.0000 0.5000  4 Sn 2.47
3 Sn 0.0000 0.5000 0.5000  2 Zn 2.47
4 Sn 0.5000 0.0000 0.5000  2 Zn 2.47
5 Pt 0.5000 0.5000 0.0000  4 Ba 3.49, 8 Sn 3.84



No. 2
Entry from Alexandria via LeMat-Bulk: a PBEsol-optimized structure of Ba2SrPt (meta-GGA SCAN).

Results
- ΔE_f (eV/atom) = -0.560
- symmetry = No. 65

a b c (Å): 7.6642 7.6642 4.4540
angles (deg): 90.00 90.00 133.37
Last column: nearest neighbours and their distance in Å.
Fractional coordinates of all 4 atoms:
1 Ba 0.1474 0.8526 0.0000  2 Pt 3.04
2 Ba 0.8526 0.1474 0.0000  2 Pt 3.04
3 Sr 0.5000 0.5000 0.5000  2 Pt 3.03
4 Pt 0.0000 0.0000 0.5000  2 Sr 3.03, 4 Ba 3.04



No. 3
Entry from Alexandria via LeMat-Bulk: a PBEsol-optimized structure of Ba2SrPt (meta-GGA SCAN).

Results
- ΔE_f (eV/atom) = -0.434
- symmetry = No. 71

a b c (Å): 8.2913 8.2913 8.2913
angles (deg): 153.08 141.91 47.26
Last column: nearest neighbours and their distance in Å.
Fractional coordinates of all 4 atoms:
1 Ba 0.1626 0.1626 0.0000  2 Pt 3.13
2 Ba 0.8374 0.8374 0.0000  2 Pt 3.13
3 Sr 0.5000 0.0000 0.5000  4 Pt 3.32, 4 Ba 3.66
4 Pt 0.0000 0.5000 0.5000  4 Ba 3.13, 4 Sr 3.32